# BeW4Cl, optimized geometry, DFT PBE
# Raw formation energy   1320 meV per atom
# Magnetic moment   0.00 μB/f.u.
data_BeW4Cl
_space_group_name_H-M_alt 'F -4 3 m'
_space_group_IT_number 216
_space_group_name_Hall 'F -4 2 3'
_cell_length_a 7.501
_cell_length_b 7.501
_cell_length_c 7.501
_cell_angle_alpha 90.00
_cell_angle_beta 90.00
_cell_angle_gamma 90.00
loop_
_atom_site_label
_atom_site_type_symbol
_atom_site_fract_x
_atom_site_fract_y
_atom_site_fract_z
Be1 Be 0.000 0.000 0.000
W1 W 0.124 0.124 0.376
Cl1 Cl 0.250 0.250 0.750

---

# Be2W2Cl, optimized geometry, DFT PBE
# Polymorph energy (0 for the lowest one)   78.4 meV/atom
# Raw formation energy   747 meV per atom
# Magnetic moment   0.00 μB/f.u.
data_Be2W2Cl
_space_group_name_H-M_alt 'I 4/m m m'
_space_group_IT_number 139
_space_group_name_Hall '-I 4 2'
_cell_length_a 2.832
_cell_length_b 2.832
_cell_length_c 17.081
_cell_angle_alpha 90.00
_cell_angle_beta 90.00
_cell_angle_gamma 90.00
loop_
_atom_site_label
_atom_site_type_symbol
_atom_site_fract_x
_atom_site_fract_y
_atom_site_fract_z
Be1 Be 0.000 0.500 0.250
W1 W 0.000 0.000 0.130
Cl1 Cl 0.000 0.000 0.500

---

# BeWCl4, optimized geometry, DFT PBE
# Raw formation energy   1635 meV per atom
# Magnetic moment   1.96 μB/f.u.
data_BeWCl4
_space_group_name_H-M_alt 'F -4 3 m'
_space_group_IT_number 216
_space_group_name_Hall 'F -4 2 3'
_cell_length_a 8.075
_cell_length_b 8.075
_cell_length_c 8.075
_cell_angle_alpha 90.00
_cell_angle_beta 90.00
_cell_angle_gamma 90.00
loop_
_atom_site_label
_atom_site_type_symbol
_atom_site_fract_x
_atom_site_fract_y
_atom_site_fract_z
Be1 Be 0.000 0.000 0.000
W1 W 0.250 0.250 0.250
Cl1 Cl 0.125 0.125 0.625

---

# Y2Be2Cl, optimized geometry, DFT PBE
# Polymorph energy (0 for the lowest one)   0.0 meV/atom
# Raw formation energy   -258 meV per atom
# Magnetic moment   0.59 μB/f.u.
data_Y2Be2Cl
_space_group_name_H-M_alt 'P 4/m b m'
_space_group_IT_number 127
_space_group_name_Hall '-P 4 2ab'
_cell_length_a 7.552
_cell_length_b 7.552
_cell_length_c 3.853
_cell_angle_alpha 90.00
_cell_angle_beta 90.00
_cell_angle_gamma 90.00
loop_
_atom_site_label
_atom_site_type_symbol
_atom_site_fract_x
_atom_site_fract_y
_atom_site_fract_z
Y1 Y 0.182 0.318 0.000
Be1 Be 0.094 0.594 0.500
Cl1 Cl 0.000 0.000 0.000